No. 1
VASP calculation (PBE) on a relaxed structure of Sm12Tl3N5.

Properties
energy relative to the elements, uncorrected: -740 meV/atom

```
Sm12Tl3N5
1.0
-8.027 8.027 8.027
8.027 -8.027 8.027
8.027 8.027 -8.027
Sm Tl N
48 12 20
direct
0.012 0.197 0.109
0.012 0.315 0.902
0.088 0.697 0.685
0.088 0.891 0.402
0.098 0.609 0.412
0.098 0.988 0.685
0.109 0.012 0.197
0.109 0.598 0.912
0.185 0.197 0.588
0.185 0.488 0.598
0.197 0.109 0.012
0.197 0.588 0.185
0.303 0.315 0.912
0.303 0.488 0.391
0.315 0.902 0.012
0.315 0.912 0.303
0.391 0.303 0.488
0.391 0.588 0.902
0.402 0.088 0.891
0.402 0.815 0.512
0.412 0.098 0.609
0.412 0.815 0.803
0.488 0.391 0.303
0.488 0.598 0.185
0.512 0.402 0.815
0.512 0.609 0.697
0.588 0.185 0.197
0.588 0.902 0.391
0.598 0.185 0.488
0.598 0.912 0.109
0.609 0.412 0.098
0.609 0.697 0.512
0.685 0.088 0.697
0.685 0.098 0.988
0.697 0.512 0.609
0.697 0.685 0.088
0.803 0.412 0.815
0.803 0.891 0.988
0.815 0.512 0.402
0.815 0.803 0.412
0.891 0.402 0.088
0.891 0.988 0.803
0.902 0.012 0.315
0.902 0.391 0.588
0.912 0.109 0.598
0.912 0.303 0.315
0.988 0.685 0.098
0.988 0.803 0.891
0.125 0.250 0.375
0.125 0.375 0.750
0.250 0.375 0.125
0.250 0.875 0.625
0.375 0.125 0.250
0.375 0.750 0.125
0.625 0.250 0.875
0.625 0.875 0.750
0.750 0.125 0.375
0.750 0.625 0.875
0.875 0.625 0.250
0.875 0.750 0.625
0.000 0.000 0.000
0.000 0.000 0.500
0.000 0.500 0.000
0.000 0.500 0.500
0.125 0.750 0.875
0.125 0.875 0.250
0.250 0.125 0.875
0.250 0.625 0.375
0.375 0.250 0.625
0.375 0.625 0.750
0.500 0.000 0.000
0.500 0.000 0.500
0.500 0.500 0.000
0.500 0.500 0.500
0.625 0.375 0.250
0.625 0.750 0.375
0.750 0.375 0.625
0.750 0.875 0.125
0.875 0.125 0.750
0.875 0.250 0.125
```


No. 2
VASP calculation (PBE) on a relaxed structure of HfZr4N7.

Properties
energy relative to the elements, uncorrected: -1356 meV/atom

```
HfZr4N7
1.0
5.254 -1.578 0.000
5.254 1.578 0.000
-2.647 0.000 8.912
Hf Zr N
1 4 7
direct
0.000 0.000 0.000
0.111 0.111 0.414
0.222 0.222 0.830
0.420 0.420 0.613
0.801 0.801 0.215
0.063 0.063 0.626
0.157 0.157 0.201
0.381 0.381 0.060
0.453 0.453 0.356
0.610 0.610 0.917
0.768 0.768 0.472
0.846 0.846 0.772
```


No. 3
VASP calculation (PBE) on a relaxed structure of MgZnCr3.

Properties
distance to the lowest polymorph of the same formula: 0.000 eV/atom

```
MgZnCr3
1.0
4.767 0.000 0.000
0.000 4.767 0.000
0.000 0.000 4.767
Mg Zn Cr
1 1 3
direct
0.000 0.000 0.000
0.500 0.500 0.500
0.000 0.500 0.500
0.500 0.000 0.500
0.500 0.500 0.000
```